#A
VASP calculation (PBE) on a geometry-optimized K2RbLi2 structure.

It has space group P4/mbm (No. 127), with a = 11.3015 Å, b = 11.3015 Å, c = 4.1342 Å, α = 90.00°, β = 90.00° and γ = 90.00°. Symmetry generates all atoms from K at (0.1320, 0.3680, 0.0000), Rb at (0.0000, 0.0000, 0.0000) and Li at (0.1649, 0.6649, 0.5000).

---

#B
VASP calculation (PBE) on a geometry-optimized K2RbLi2 structure.

It has space group I4/mmm (No. 139), with a = 5.9338 Å, b = 5.9338 Å, c = 15.9787 Å, α = 90.00°, β = 90.00° and γ = 90.00°. Symmetry generates all atoms from K at (0.0000, 0.5000, 0.2500), Rb at (0.0000, 0.0000, 0.0000) and Li at (0.0000, 0.0000, 0.4085).

---

#C
VASP calculation (PBE) on a geometry-optimized K2RbLi2 structure.

It has space group I4/mmm (No. 139), with a = 4.3488 Å, b = 4.3488 Å, c = 28.4545 Å, α = 90.00°, β = 90.00° and γ = 90.00°. Symmetry generates all atoms from K at (0.0000, 0.0000, 0.1384), Rb at (0.0000, 0.0000, 0.5000) and Li at (0.0000, 0.5000, 0.2500).

---

Which is most stable? The ranking, best first, is #C, #A, #B.

---

#A
VASP calculation (PBE) on a geometry-optimized K2Rb2Li structure.

It has space group I4/mmm (No. 139), with a = 5.8166 Å, b = 5.8166 Å, c = 22.7980 Å, α = 90.00°, β = 90.00° and γ = 90.00°. Symmetry generates all atoms from K at (0.0000, 0.0000, 0.0855), Rb at (0.0000, 0.5000, 0.2500) and Li at (0.0000, 0.0000, 0.5000).

---

#B
VASP calculation (PBE) on a geometry-optimized K2Rb2Li structure.

It has space group P4/mbm (No. 127), with a = 10.0400 Å, b = 10.0400 Å, c = 7.2292 Å, α = 90.00°, β = 90.00° and γ = 90.00°. Symmetry generates all atoms from K at (0.1737, 0.3263, 0.0000), Rb at (0.1515, 0.6515, 0.5000) and Li at (0.0000, 0.0000, 0.5000).

---

Which is most stable? The ranking, best first, is #B, #A.

---

#A
VASP calculation (PBE) on a geometry-optimized K2RbLiSn structure.

It has space group P4/mmm (No. 123), with a = 6.4621 Å, b = 6.4621 Å, c = 5.3139 Å, α = 90.00°, β = 90.00° and γ = 90.00°. Symmetry generates all atoms from K at (0.0000, 0.5000, 0.0000), Rb at (0.0000, 0.0000, 0.5000), Li at (0.5000, 0.5000, 0.0000) and Sn at (0.5000, 0.5000, 0.5000).

---

#B
VASP calculation (PBE) on a geometry-optimized K2RbLiSn structure.

It has space group P4/mmm (No. 123), with a = 6.8777 Å, b = 6.8777 Å, c = 5.5472 Å, α = 90.00°, β = 90.00° and γ = 90.00°. Symmetry generates all atoms from K at (0.0000, 0.5000, 0.0000), Rb at (0.0000, 0.0000, 0.5000), Li at (0.5000, 0.5000, 0.5000) and Sn at (0.5000, 0.5000, 0.0000).

---

Which is most stable? The ranking, best first, is #A, #B.

---

#A
VASP calculation (PBE) on a geometry-optimized KRb2LiTl structure.

It has space group P4/mmm (No. 123), with a = 7.0105 Å, b = 7.0105 Å, c = 5.5779 Å, α = 90.00°, β = 90.00° and γ = 90.00°. Symmetry generates all atoms from K at (0.0000, 0.0000, 0.0000), Rb at (0.0000, 0.5000, 0.5000), Li at (0.5000, 0.5000, 0.5000) and Tl at (0.5000, 0.5000, 0.0000).

---

#B
VASP calculation (PBE) on a geometry-optimized KRb2LiTl structure.

It has space group P4/mmm (No. 123), with a = 7.2138 Å, b = 7.2138 Å, c = 5.6451 Å, α = 90.00°, β = 90.00° and γ = 90.00°. Symmetry generates all atoms from K at (0.0000, 0.0000, 0.0000), Rb at (0.0000, 0.5000, 0.5000), Li at (0.5000, 0.5000, 0.0000) and Tl at (0.5000, 0.5000, 0.5000).

---

Which is most stable? The ranking, best first, is #B, #A.

---

#A
VASP calculation (PBE) on a geometry-optimized KRbLiTl2 structure.

It has space group P4/mmm (No. 123), with a = 5.5246 Å, b = 5.5246 Å, c = 6.2262 Å, α = 90.00°, β = 90.00° and γ = 90.00°. Symmetry generates all atoms from K at (0.0000, 0.0000, 0.0000), Rb at (0.5000, 0.5000, 0.0000), Li at (0.5000, 0.5000, 0.5000) and Tl at (0.0000, 0.5000, 0.5000).

---

#B
VASP calculation (PBE) on a geometry-optimized KRbLiTl2 structure.

It has space group P4/mmm (No. 123), with a = 5.5152 Å, b = 5.5152 Å, c = 6.1669 Å, α = 90.00°, β = 90.00° and γ = 90.00°. Symmetry generates all atoms from K at (0.0000, 0.0000, 0.0000), Rb at (0.5000, 0.5000, 0.0000), Li at (0.0000, 0.0000, 0.5000) and Tl at (0.0000, 0.5000, 0.5000).

---

Which is most stable? The ranking, best first, is #B, #A.

---

#A
VASP calculation (PBE) on a geometry-optimized K2RbLiTl structure.

It has space group P4/mmm (No. 123), with a = 6.9160 Å, b = 6.9160 Å, c = 5.6660 Å, α = 90.00°, β = 90.00° and γ = 90.00°. Symmetry generates all atoms from K at (0.0000, 0.5000, 0.0000), Rb at (0.0000, 0.0000, 0.5000), Li at (0.5000, 0.5000, 0.5000) and Tl at (0.5000, 0.5000, 0.0000).

---

#B
VASP calculation (PBE) on a geometry-optimized K2RbLiTl structure.

It has space group P4/mmm (No. 123), with a = 6.7397 Å, b = 6.7397 Å, c = 5.5262 Å, α = 90.00°, β = 90.00° and γ = 90.00°. Symmetry generates all atoms from K at (0.0000, 0.5000, 0.0000), Rb at (0.0000, 0.0000, 0.5000), Li at (0.5000, 0.5000, 0.0000) and Tl at (0.5000, 0.5000, 0.5000).

---

Which is most stable? The ranking, best first, is #A, #B.

---

#A
VASP calculation (PBE) on a geometry-optimized KLi2Re structure.

It has space group Immm (No. 71), with a = 2.6298 Å, b = 6.1894 Å, c = 11.7985 Å, α = 90.00°, β = 90.00° and γ = 90.00°. Symmetry generates all atoms from K at (0.0000, 0.0000, 0.0000), Li at (0.0000, 0.5000, 0.2009) and Re at (0.0000, 0.0000, 0.5000).

---

#B
VASP calculation (PBE) on a geometry-optimized KLi2Re structure.

It has space group Fm-3m (No. 225), with a = 7.0477 Å, b = 7.0477 Å, c = 7.0477 Å, α = 90.00°, β = 90.00° and γ = 90.00°. Symmetry generates all atoms from K at (0.0000, 0.0000, 0.0000), Li at (0.2500, 0.2500, 0.2500) and Re at (0.0000, 0.0000, 0.5000).

---

#C
VASP calculation (PBE) on a geometry-optimized KLi2Re structure.

It has space group P4/mmm (No. 123), with a = 2.7114 Å, b = 2.7114 Å, c = 11.0190 Å, α = 90.00°, β = 90.00° and γ = 90.00°. Symmetry generates all atoms from K at (0.0000, 0.0000, 0.0000), Li at (0.5000, 0.5000, 0.3105) and Re at (0.0000, 0.0000, 0.5000).

---

Which is most stable? The ranking, best first, is #C, #A, #B.

---

#A
VASP calculation (PBE) on a geometry-optimized KLi2Re structure.

It has space group P2/m (No. 10), with a = 2.6125 Å, b = 4.5035 Å, c = 7.0928 Å, α = 90.00°, β = 91.24° and γ = 90.00°. Symmetry generates all atoms from K at (0.0000, 0.0000, 0.0000), Li at (0.0126, 0.5000, 0.6638) and Re at (0.5000, 0.0000, 0.5000).

---

#B
VASP calculation (PBE) on a geometry-optimized KLi2Re structure.

It has space group I-4m2 (No. 119), with a = 4.2060 Å, b = 4.2060 Å, c = 9.8637 Å, α = 90.00°, β = 90.00° and γ = 90.00°. Symmetry generates all atoms from K at (0.0000, 0.0000, 0.0000), Li at (0.0000, 0.0000, 0.5000), Li at (0.0000, 0.5000, 0.7500) and Re at (0.0000, 0.5000, 0.2500).

---

Which is most stable? The ranking, best first, is #A, #B.